Record 1
LiPrThIn: relaxed, PBE-GGA. Values from VASP.

Summary:
- Calculated total energy: -4.333 eV per atom

Cell and atoms, written as Quantum ESPRESSO input:
```
&SYSTEM
  ibrav = 0, nat = 4, ntyp = 4
/
ATOMIC_SPECIES
In 114.82 In.upf
Pr 140.91 Pr.upf
Th 232.04 Th.upf
Li 6.94 Li.upf
CELL_PARAMETERS angstrom
5.424 0.000 0.000
2.712 4.697 0.000
2.712 1.566 4.429
ATOMIC_POSITIONS crystal
In 0.500 0.500 0.500
Pr 0.250 0.250 0.250
Th 0.750 0.750 0.750
Li 0.000 0.000 0.000
```

=====

Record 2
DyInNi17: relaxed, PBE-GGA. Values from VASP.

Summary:
- Calculated total energy: -5.629 eV per atom

Cell and atoms, written as Quantum ESPRESSO input:
```
&SYSTEM
  ibrav = 0, nat = 19, ntyp = 3
/
ATOMIC_SPECIES
Ni 58.69 Ni.upf
In 114.82 In.upf
Dy 162.50 Dy.upf
CELL_PARAMETERS angstrom
6.177 0.020 0.751
0.668 6.140 0.751
0.022 0.020 6.222
ATOMIC_POSITIONS crystal
Ni 0.703 0.001 0.294
Ni 0.343 0.857 0.343
Ni 0.001 0.703 0.294
Ni 0.294 0.001 0.703
Ni 0.343 0.343 0.857
Ni 0.993 0.507 0.993
Ni 0.163 0.647 0.647
Ni 0.647 0.163 0.647
Ni 0.103 0.103 0.103
In 0.344 0.344 0.344
Ni 0.507 0.993 0.993
Ni 0.703 0.294 0.001
Ni 0.294 0.703 0.001
Dy 0.660 0.660 0.660
Ni 0.993 0.993 0.507
Ni 0.001 0.294 0.703
Ni 0.647 0.647 0.163
Ni 0.857 0.343 0.343
Ni 0.903 0.903 0.903
```

=====

Record 3
PmNd6SmHo2: relaxed, PBE-GGA. Values from VASP.

Summary:
- Calculated total energy: -4.609 eV per atom

Cell and atoms, written as Quantum ESPRESSO input:
```
&SYSTEM
  ibrav = 0, nat = 20, ntyp = 4
/
ATOMIC_SPECIES
Nd 144.24 Nd.upf
Ho 164.93 Ho.upf
Pm 145.00 Pm.upf
Sm 150.36 Sm.upf
CELL_PARAMETERS angstrom
9.302 -2.028 -2.104
0.792 8.703 -2.007
0.792 -2.328 8.623
ATOMIC_POSITIONS crystal
Nd 0.119 0.705 0.488
Nd 0.944 0.888 0.242
Ho 0.547 0.198 0.295
Nd 0.816 0.436 0.986
Nd 0.316 0.986 0.436
Nd 0.444 0.242 0.888
Ho 0.953 0.705 0.802
Nd 0.184 0.564 0.014
Pm 0.250 0.408 0.592
Nd 0.684 0.014 0.564
Ho 0.453 0.802 0.705
Nd 0.056 0.112 0.758
Pm 0.750 0.592 0.408
Nd 0.619 0.488 0.705
Sm 0.250 0.970 0.030
Nd 0.381 0.512 0.295
Ho 0.047 0.295 0.198
Sm 0.750 0.030 0.970
Nd 0.881 0.295 0.512
Nd 0.556 0.758 0.112
```

=====

Record 4
ZrPaTc2: relaxed, PBE-GGA. Values from VASP.

Summary:
- Calculated total energy: -10.019 eV per atom

Cell and atoms, written as Quantum ESPRESSO input:
```
&SYSTEM
  ibrav = 0, nat = 4, ntyp = 3
/
ATOMIC_SPECIES
Pa 231.04 Pa.upf
Tc 98.00 Tc.upf
Zr 91.22 Zr.upf
CELL_PARAMETERS angstrom
3.358 0.000 0.000
0.000 4.774 0.000
0.000 0.000 4.774
ATOMIC_POSITIONS crystal
Pa 0.500 0.500 0.500
Tc 0.000 0.000 0.500
Zr 0.500 0.000 0.000
Tc 0.000 0.500 0.000
```

=====

no.,magnetization (μB/atom),energy of formation from the pure elements (eV per atom)
1,0.000,-0.12
2,0.396,-0.07
3,0.000,0.11
4,0.000,-0.32